[1]
The following is a DFT calculation (PBE-GGA) of a relaxed AcCe2ThSe5 crystal.

```
9
Lattice="5.393 0.000 0.000 0.000 5.393 0.000 0.000 0.000 11.480" Properties=species:S:1:pos:R:3 pbc="T T T"
Ac 0.000 0.000 0.000
Ce 2.696 2.696 3.949
Ce 2.696 2.696 7.531
Th 0.000 0.000 5.740
Se 0.000 0.000 2.899
Se 0.000 0.000 8.581
Se 0.000 2.696 5.740
Se 2.696 0.000 5.740
Se 2.696 2.696 0.000
```

Raw formation energy in eV/atom: -1.17
Total moment in μB/cell: 4.44
ρ in kg/m³: 5641
Calculated volume in Å³ per cell: 333.9
SG: P4/mmm, No. 123

[2]
The following is a DFT calculation (PBE-GGA) of a relaxed Ac3Ce2ThSe6 crystal.

```
12
Lattice="3.728 -6.465 0.000 3.728 6.465 0.000 -2.493 0.000 7.171" Properties=species:S:1:pos:R:3 pbc="T T T"
Ac 0.000 0.000 0.000
Ac 3.728 2.154 0.000
Ac 3.728 -2.154 0.000
Ce 2.482 4.309 3.585
Ce 2.482 -4.309 3.585
Th 2.482 0.000 3.585
Se 1.241 2.155 1.910
Se -0.006 0.000 5.260
Se 1.241 -2.155 1.910
Se 3.723 2.155 5.261
Se 4.969 0.000 1.911
Se 3.723 -2.155 5.261
```

Raw formation energy in eV/atom: -1.78
Total moment in μB/cell: 2.10
ρ in kg/m³: 8007
Calculated volume in Å³ per cell: 345.7
SG: C2/m, No. 12

[3]
The following is a DFT calculation (PBE-GGA) of a relaxed Ac2CeTl3Se6 crystal.

```
12
Lattice="3.904 -6.759 0.000 3.904 6.759 0.000 -2.603 0.000 7.701" Properties=species:S:1:pos:R:3 pbc="T T T"
Ac 3.904 4.506 0.000
Ac 3.904 -4.506 0.000
Ce 3.904 0.000 0.000
Tl -1.301 0.000 3.850
Tl 2.603 2.251 3.850
Tl 2.603 -2.251 3.850
Se 0.043 2.179 6.052
Se 1.386 0.000 1.664
Se 0.043 -2.179 6.052
Se 5.163 2.179 1.648
Se 3.821 0.000 6.036
Se 5.163 -2.179 1.648
```

Raw formation energy in eV/atom: -1.39
Total moment in μB/cell: 1.00
ρ in kg/m³: 6868
Calculated volume in Å³ per cell: 406.4
SG: C2/m, No. 12